# Er2PuPbC, optimized geometry, DFT PBE-GGA
# ΔH_f (0 K): -0.40 eV/atom
# VASP energy: -7.678 eV/atom
data_Er2PuPbC
_chemical_formula_sum 'Er2 Pu1 Pb1 C1'
_cell_length_a 4.9106
_cell_length_b 4.9106
_cell_length_c 4.8186
_cell_angle_alpha 90.00
_cell_angle_beta 90.00
_cell_angle_gamma 90.00
_symmetry_space_group_name_H-M 'P 1'
_symmetry_Int_Tables_number 1
loop_
_symmetry_equiv_pos_as_xyz
'x,y,z'
loop_
_atom_site_label
_atom_site_type_symbol
_atom_site_fract_x
_atom_site_fract_y
_atom_site_fract_z
Er1 Er 0.0000 0.5000 0.0000
Er2 Er 0.5000 0.0000 0.0000
Pu1 Pu 0.0000 0.0000 0.5000
Pb1 Pb 0.5000 0.5000 0.5000
C1 C 0.0000 0.0000 0.0000